1.
Entry from Alexandria via LeMat-Bulk: BaRh3C after structural relaxation (GGA-PBE).

Results
calculated volume	26.132	Å³ per atom
energy relative to the lowest polymorph listed for this composition	3003.2	meV/atom
calculated formation energy	3157	meV per atom

```
data_BaRh3C
_space_group_name_H-M_alt 'P 1'
_space_group_IT_number 1
_space_group_name_Hall 'P 1'
_cell_length_a 5.074
_cell_length_b 5.074
_cell_length_c 5.074
_cell_angle_alpha 90.00
_cell_angle_beta 90.00
_cell_angle_gamma 90.00
loop_
_atom_site_label
_atom_site_fract_x
_atom_site_fract_y
_atom_site_fract_z
Ba1 0.000 0.000 0.000
Rh1 0.000 0.000 0.500
Rh2 0.000 0.500 0.000
Rh3 0.500 0.000 0.000
C1 0.500 0.500 0.500
```

2.
Entry from Alexandria via LeMat-Bulk: ZnCd2Ga after structural relaxation (GGA-PBE).

Results
calculated volume	20.437	Å³ per atom
calculated formation energy	76	meV per atom

```
data_ZnCd2Ga
_space_group_name_H-M_alt 'P 1'
_space_group_IT_number 1
_space_group_name_Hall 'P 1'
_cell_length_a 5.622
_cell_length_b 5.622
_cell_length_c 6.217
_cell_angle_alpha 106.12
_cell_angle_beta 106.12
_cell_angle_gamma 61.55
loop_
_atom_site_label
_atom_site_fract_x
_atom_site_fract_y
_atom_site_fract_z
Zn1 0.242 0.758 0.750
Zn2 0.758 0.242 0.250
Cd1 0.271 0.295 0.387
Cd2 0.295 0.271 0.887
Cd3 0.705 0.729 0.113
Cd4 0.729 0.705 0.613
Ga1 0.220 0.780 0.250
Ga2 0.780 0.220 0.750
```

- calculated formation energy of number 1 (BaRh3C)?
  3157 meV per atom